No. 1
Below is crystalline U2MnRu at its relaxed geometry, with properties calculated at the GGA-PBE level.

```
data_U2MnRu
_cell_length_a 3.6184
_cell_length_b 4.4864
_cell_length_c 4.4864
_cell_angle_alpha 90.00
_cell_angle_beta 90.00
_cell_angle_gamma 90.00
_space_group_name_H-M_alt 'P 1'
_space_group_IT_number 1
loop_
_space_group_symop_operation_xyz
'x,y,z'
loop_
_atom_site_label
_atom_site_type_symbol
_atom_site_fract_x
_atom_site_fract_y
_atom_site_fract_z
_atom_site_occupancy
U1 U 0.0000 0.0000 0.5000 1
U2 U 0.0000 0.5000 0.0000 1
Mn1 Mn 0.5000 0.0000 0.0000 1
Ru1 Ru 0.5000 0.5000 0.5000 1
```

## Properties
Magnetization   2.82 μB per cell
Formation energy from the elements   0.10 eV/atom
SG   No. 123
Electronic total energy   -10.16 eV per atom

No. 2
Below is crystalline PrSmEr2P4 at its relaxed geometry, with properties calculated at the GGA-PBE level.

```
data_PrSmEr2P4
_cell_length_a 4.0659
_cell_length_b 7.0330
_cell_length_c 7.0389
_cell_angle_alpha 70.52
_cell_angle_beta 90.00
_cell_angle_gamma 90.00
_space_group_name_H-M_alt 'P 1'
_space_group_IT_number 1
loop_
_space_group_symop_operation_xyz
'x,y,z'
loop_
_atom_site_label
_atom_site_type_symbol
_atom_site_fract_x
_atom_site_fract_y
_atom_site_fract_z
_atom_site_occupancy
P1 P 0.0000 0.7623 0.7433 1
P2 P 0.5000 0.2396 0.7510 1
P3 P 0.0000 0.2377 0.2567 1
P4 P 0.5000 0.7604 0.2490 1
Sm1 Sm 0.0000 0.5000 0.5000 1
Pr1 Pr 0.5000 0.5000 0.0000 1
Er1 Er 0.5000 0.0000 0.5000 1
Er2 Er 0.0000 0.0000 0.0000 1
```

## Properties
Magnetization   0.00 μB per cell
Formation energy from the elements   -1.57 eV/atom
SG   No. 10
Electronic total energy   -6.60 eV per atom

No. 3
Below is crystalline FeNi2Ir2 at its relaxed geometry, with properties calculated at the GGA-PBE level.

```
data_FeNi2Ir2
_cell_length_a 6.9711
_cell_length_b 6.9711
_cell_length_c 2.7392
_cell_angle_alpha 90.00
_cell_angle_beta 90.00
_cell_angle_gamma 90.00
_space_group_name_H-M_alt 'P 1'
_space_group_IT_number 1
loop_
_space_group_symop_operation_xyz
'x,y,z'
loop_
_atom_site_label
_atom_site_type_symbol
_atom_site_fract_x
_atom_site_fract_y
_atom_site_fract_z
_atom_site_occupancy
Fe1 Fe 0.5000 0.5000 0.0000 1
Fe2 Fe 0.0000 0.0000 0.0000 1
Ir1 Ir 0.6342 0.1342 0.0000 1
Ir2 Ir 0.3658 0.8658 0.0000 1
Ir3 Ir 0.1342 0.3658 0.0000 1
Ir4 Ir 0.8658 0.6342 0.0000 1
Ni1 Ni 0.6647 0.8353 0.5000 1
Ni2 Ni 0.8353 0.3353 0.5000 1
Ni3 Ni 0.1647 0.6647 0.5000 1
Ni4 Ni 0.3353 0.1647 0.5000 1
```

## Properties
Magnetization   0.34 μB per cell
Formation energy from the elements   0.49 eV/atom
SG   No. 127
Electronic total energy   -7.06 eV per atom
Energy above the lowest structure with this stoichiometry   247 meV/atom